# 1
# Pm7Sm2Er3 | Alexandria via LeMat-Bulk | PBE | optimized geometry
data_Pm7Sm2Er3
_chemical_formula_sum 'Pm7 Sm2 Er3'
_space_group_name_H-M_alt 'P 1 2/m 1'
_space_group_IT_number 10
_cell_length_a 5.867
_cell_length_b 3.628
_cell_length_c 18.991
_cell_angle_alpha 90.00
_cell_angle_beta 93.82
_cell_angle_gamma 90.00
loop_
_space_group_symop_operation_xyz
'x,y,z'
'-x,-y,-z'
'-x,y,-z'
'x,-y,z'
loop_
_atom_site_label
_atom_site_fract_x
_atom_site_fract_y
_atom_site_fract_z
Pm1 0.000 0.000 0.000
Pm2 0.175 0.500 0.181
Pm3 0.258 0.500 0.536
Pm4 0.327 0.000 0.856
Sm1 0.296 0.500 0.703
Er1 0.217 0.000 0.369
Er2 0.500 0.500 0.000
# Total energy: -4.61 eV per atom
# Crystal system: monoclinic
# ΔE_f: 0.0868 eV/atom
# ΔE to the lowest computed polymorph: 20 meV/atom
# Volume: 403.37 Å³/f.u.

# 2
# Ho2Er2Rh3 | Alexandria via LeMat-Bulk | PBE | optimized geometry
data_Ho2Er2Rh3
_chemical_formula_sum 'Ho4 Er4 Rh6'
_space_group_name_H-M_alt 'C 1 2/m 1'
_space_group_IT_number 12
_cell_length_a 8.267
_cell_length_b 4.768
_cell_length_c 8.354
_cell_angle_alpha 90.00
_cell_angle_beta 109.38
_cell_angle_gamma 90.00
loop_
_space_group_symop_operation_xyz
'x,y,z'
'-x,-y,-z'
'-x,y,-z'
'x,-y,z'
'x+1/2,y+1/2,z'
'-x+1/2,-y+1/2,-z'
'-x+1/2,y+1/2,-z'
'x+1/2,-y+1/2,z'
loop_
_atom_site_label
_atom_site_fract_x
_atom_site_fract_y
_atom_site_fract_z
Ho1 0.125 0.000 0.375
Er1 0.124 0.500 0.873
Rh1 0.000 0.000 0.000
Rh2 0.249 0.500 0.247
# Total energy: -6.59 eV per atom
# Crystal system: monoclinic
# ΔE_f: -0.8246 eV/atom
# ΔE to the lowest computed polymorph: 0 meV/atom
# Volume: 155.30 Å³/f.u.

# 3
# Ce5FePb4 | Alexandria via LeMat-Bulk | PBE | optimized geometry
data_Ce5FePb4
_chemical_formula_sum 'Ce10 Fe2 Pb8'
_space_group_name_H-M_alt 'I 4/m'
_space_group_IT_number 87
_space_group_name_Hall '-I 4'
_cell_length_a 9.710
_cell_length_b 9.710
_cell_length_c 6.288
_cell_angle_alpha 90.00
_cell_angle_beta 90.00
_cell_angle_gamma 90.00
loop_
_atom_site_label
_atom_site_fract_x
_atom_site_fract_y
_atom_site_fract_z
Ce1 0.000 0.000 0.000
Ce2 0.112 0.230 0.500
Fe1 0.000 0.000 0.500
Pb1 0.059 0.335 0.000
# Total energy: -5.47 eV per atom
# Crystal system: tetragonal
# ΔE_f: -0.1713 eV/atom
# Volume: 296.46 Å³/f.u.

# 4
# AcPr5Te6 | Alexandria via LeMat-Bulk | PBE | optimized geometry
data_AcPr5Te6
_chemical_formula_sum 'Ac2 Pr10 Te12'
_space_group_name_H-M_alt 'C 1 2/m 1'
_space_group_IT_number 12
_cell_length_a 7.898
_cell_length_b 13.746
_cell_length_c 7.902
_cell_angle_alpha 90.00
_cell_angle_beta 109.68
_cell_angle_gamma 90.00
loop_
_space_group_symop_operation_xyz
'x,y,z'
'-x,-y,-z'
'-x,y,-z'
'x,-y,z'
'x+1/2,y+1/2,z'
'-x+1/2,-y+1/2,-z'
'-x+1/2,y+1/2,-z'
'x+1/2,-y+1/2,z'
loop_
_atom_site_label
_atom_site_fract_x
_atom_site_fract_y
_atom_site_fract_z
Ac1 0.000 0.000 0.000
Pr1 0.000 0.162 0.500
Pr2 0.000 0.332 0.000
Pr3 0.000 0.500 0.500
Te1 0.242 0.500 0.249
Te2 0.244 0.330 0.744
# Total energy: -5.35 eV per atom
# Crystal system: monoclinic
# E_form (uncorrected): -17.369 eV/f.u.
# Volume: 403.90 Å³/f.u.

# 5
# Np2FeCo3B12 | Alexandria via LeMat-Bulk | PBE | optimized geometry
data_Np2FeCo3B12
_chemical_formula_sum 'Np6 Fe3 Co9 B36'
_space_group_name_H-M_alt 'R -3 m'
_space_group_IT_number 166
_space_group_name_Hall '-R 3 2"'
_cell_length_a 5.3215
_cell_length_b 5.3215
_cell_length_c 21.8942
_cell_angle_alpha 90.00
_cell_angle_beta 90.00
_cell_angle_gamma 120.00
loop_
_atom_site_label
_atom_site_fract_x
_atom_site_fract_y
_atom_site_fract_z
Np1 0.0000 0.0000 0.1417
Fe1 0.0000 0.0000 0.5000
Co1 0.0000 0.5000 0.0000
B1 0.0835 0.5418 0.0945
B2 0.1088 0.2175 0.7389
# Total energy: -7.49 eV per atom
# Crystal system: trigonal
# ΔE_f: 0.0586 eV/atom
# Volume: 178.98 Å³/f.u.